VASP calculation (GGA-PBE) on a relaxed TlIn2SnRu crystal.

Values from the calculation:
- formation enthalpy at 0 K (eV per atom) = 0.04

Unit cell a=5.2303 b=5.2303 c=5.0999 alpha=90.00 beta=90.00 gamma=90.00
Positions (direct):
Tl (0.0000, 0.0000, 0.0000)
In (0.0000, 0.5000, 0.5000)
In (0.5000, 0.0000, 0.5000)
Sn (0.5000, 0.5000, 0.0000)
Ru (0.5000, 0.5000, 0.5000)

---

VASP calculation (GGA-PBE) on a relaxed CuAgOs2O8 crystal.

Values from the calculation:
- E_form (uncorrected) (kJ/mol of formula units) = -790

Unit cell a=5.8422 b=5.8422 c=6.4239 alpha=90.00 beta=90.00 gamma=120.00
Positions (direct):
Cu (0.0000, 0.0000, 0.0000)
Ag (0.0000, 0.0000, 0.5000)
Os (0.3333, 0.6667, 0.2745)
Os (0.6667, 0.3333, 0.7255)
O (0.1620, 0.3257, 0.2054)
O (0.1637, 0.8380, 0.2054)
O (0.3257, 0.1637, 0.7946)
O (0.3333, 0.6667, 0.5485)
O (0.6667, 0.3333, 0.4515)
O (0.6743, 0.8363, 0.2054)
O (0.8363, 0.1620, 0.7946)
O (0.8380, 0.6743, 0.7946)

---

VASP calculation (GGA-PBE) on a relaxed CaPI2 crystal.

Values from the calculation:
- polymorph energy (0 for the lowest one) (meV per atom) = 4
- E_form (uncorrected) (kJ/mol of formula units) = -77

Unit cell a=5.6550 b=5.6550 c=5.6550 alpha=60.00 beta=60.00 gamma=60.00
Positions (direct):
Ca (0.0000, 0.0000, 0.0000)
P (0.5000, 0.5000, 0.5000)
I (0.2500, 0.2500, 0.2500)
I (0.7500, 0.7500, 0.7500)

---

| no. | electronic total energy (eV per atom) |
| --- | --- |
| 1 | -4.19 |
| 2 | -6.44 |
| 3 | -2.83 |